A crystal of Li2TaPdPb relaxed with PBEsol. Source: Alexandria via LeMat-Bulk, functional SCAN.

Properties
The value obtained for the calculated volume is 125.4 Å³ per cell. The formation energy comes out at 1368 meV/atom.

Unit cell a=4.8588 b=4.8588 c=5.3137 alpha=90.00 beta=90.00 gamma=90.00
Last column: nearest neighbours and their distance in Å.
Space group P4/mmm (No. 123)
Inequivalent atoms, fractional coordinates:
Li  0.0000  0.5000  0.0000 x2  2 Ta 2.43
Ta  0.0000  0.0000  0.0000 x1  4 Li 2.43, 2 Pb 2.66
Pd  0.5000  0.5000  0.5000 x1  4 Pb 3.44, 8 Li 3.60
Pb  0.0000  0.0000  0.5000 x1  2 Ta 2.66